# 1
DFT (PBE) results for LaGeAs2 after structural relaxation.

abc: 6.449 6.449 6.449
angles: 110.64 110.64 107.17
Fractional positions:
La 0.000 0.000 0.000
La 0.750 0.250 0.500
Ge 0.250 0.750 0.500
Ge 0.500 0.500 0.000
As 0.182 0.625 0.057
As 0.375 0.432 0.557
As 0.568 0.125 0.943
As 0.875 0.818 0.443

Computed properties:
The space group is I-42d (122). The value obtained for the formation enthalpy at 0 K is -0.5073 eV per atom.


# 2
DFT (PBE) results for CsHRuSe after structural relaxation.

abc: 4.006 5.208 5.730
angles: 89.48 69.85 89.50
Fractional positions:
Cs 0.000 0.000 0.000
H 0.569 0.457 0.860
Ru 0.707 0.561 0.578
Se 0.281 0.398 0.432

Computed properties:
The space group is P1 (1). The relative energy among the computed polymorphs is 16.6 kJ per mole of atoms.


# 3
DFT (PBE) results for Hg2Ge2Bi after structural relaxation.

abc: 8.573 8.573 3.334
angles: 90.00 90.00 90.00
Fractional positions:
Hg 0.171 0.329 0.000
Hg 0.329 0.829 0.000
Hg 0.671 0.171 0.000
Hg 0.829 0.671 0.000
Ge 0.121 0.621 0.500
Ge 0.379 0.121 0.500
Ge 0.621 0.879 0.500
Ge 0.879 0.379 0.500
Bi 0.000 0.000 0.000
Bi 0.500 0.500 0.000

Computed properties:
The space group is P4/mbm (127). The relative energy among the computed polymorphs is 3.9 kJ per mole of atoms. The value obtained for the formation enthalpy at 0 K is 0.2873 eV per atom.


| no. | E_tot (eV per atom) |
| --- | --- |
| 1 | -5.2182 |
| 2 | -4.1961 |
| 3 | -2.4566 |